! LiScCdBr6 | Alexandria | PBE | optimized geometry; values from VASP
! final energy = -62.5 eV/cell
! E_form (uncorrected) = -1.34 eV per atom
&SYSTEM
  ibrav = 0, nat = 18, ntyp = 4
/
ATOMIC_SPECIES
Br 79.90 Br.upf
Cd 112.41 Cd.upf
Li 6.94 Li.upf
Sc 44.96 Sc.upf
ATOMIC_POSITIONS angstrom
Br 1.1063 2.0999 4.7121
Br -2.1790 3.9579 4.7121
Br 2.3381 3.8661 7.9283
Br 5.6235 2.0081 7.9283
Br -1.0727 5.8741 1.6081
Br -1.1063 2.0999 1.6081
Br 1.0727 5.8741 4.7121
Br 2.3718 0.0919 7.9283
Br 4.5508 3.8661 11.0323
Br 2.1790 3.9579 1.6081
Br 4.5172 0.0919 11.0323
Br 1.2654 2.0081 11.0323
Cd 0.0000 3.9773 9.4803
Cd 3.4445 1.9887 3.1601
Li 0.0000 0.0000 0.0000
Li 0.0000 0.0000 6.3202
Sc 3.4445 1.9887 9.4803
Sc 0.0000 3.9773 3.1601
CELL_PARAMETERS angstrom
6.8889 0.0000 0.0000
-3.4445 5.9660 0.0000
0.0000 0.0000 12.6404


! LiMn2Fe | Alexandria | PBE | optimized geometry; values from VASP
! final energy = -27.4 eV/cell
! energy above the most stable polymorph in this dataset = 106.9 meV/atom
! E_form = 0.33 eV per atom
&SYSTEM
  ibrav = 0, nat = 4, ntyp = 3
/
ATOMIC_SPECIES
Fe 55.84 Fe.upf
Mn 54.94 Mn.upf
Li 6.94 Li.upf
ATOMIC_POSITIONS angstrom
Fe 0.8630 0.3306 2.2817
Mn 0.0000 0.0000 0.0000
Mn 1.0803 -2.0551 1.7148
Li 2.3354 -0.7780 0.0254
CELL_PARAMETERS angstrom
-0.3921 -0.9464 3.9710
2.5527 -3.1637 -0.5415
2.1182 1.6077 0.5923


! K2RhBr | Alexandria | PBE | optimized geometry; values from VASP
! final energy = -11.6 eV/cell
! energy above the most stable polymorph in this dataset = 73.0 meV/atom
! E_form (uncorrected) = -0.10 eV per atom
&SYSTEM
  ibrav = 0, nat = 4, ntyp = 3
/
ATOMIC_SPECIES
Br 79.90 Br.upf
Rh 102.91 Rh.upf
K 39.10 K.upf
ATOMIC_POSITIONS angstrom
Br -13.0688 -16.1728 -5.1044
Rh -4.3563 -5.3909 -1.7015
K -0.0888 -0.1099 -0.0347
K -8.6237 -10.6719 -3.3682
CELL_PARAMETERS angstrom
-7.0469 -5.7838 -3.5462
-4.0634 -8.3096 -3.1823
-6.3147 -7.4703 -0.0773


! ZnINF2 | Alexandria | PBE | optimized geometry; values from VASP
! final energy = -13.7 eV/cell
! energy above the most stable polymorph in this dataset = 556.5 meV/atom
! E_form (uncorrected) = 0.23 eV per atom
&SYSTEM
  ibrav = 0, nat = 5, ntyp = 4
/
ATOMIC_SPECIES
N 14.01 N.upf
F 19.00 F.upf
I 126.90 I.upf
Zn 65.41 Zn.upf
ATOMIC_POSITIONS angstrom
N -1.5996 1.1987 -0.1859
F -0.0141 -0.3827 -2.3470
F -1.4369 -1.8688 0.3133
I 0.0000 0.0000 0.0000
Zn -3.0505 -1.0527 -2.2196
CELL_PARAMETERS angstrom
-0.0281 -0.7653 -4.6941
-2.8737 -3.7376 0.6266
-3.1992 2.3975 -0.3717


! Mg2CrRu2 | Alexandria | PBE | optimized geometry; values from VASP
! final energy = -27.5 eV/cell
! energy above the most stable polymorph in this dataset = 585.2 meV/atom
! E_form = 0.77 eV per atom
&SYSTEM
  ibrav = 0, nat = 5, ntyp = 3
/
ATOMIC_SPECIES
Cr 52.00 Cr.upf
Ru 101.07 Ru.upf
Mg 24.30 Mg.upf
ATOMIC_POSITIONS angstrom
Cr 0.0000 0.0000 0.0000
Ru 0.0000 0.0000 7.8386
Ru 0.0000 0.0000 5.3234
Mg 1.7899 0.0000 3.2905
Mg 0.0000 1.7899 3.2905
CELL_PARAMETERS angstrom
-1.7899 1.7899 6.5810
1.7899 -1.7899 6.5810
1.7899 1.7899 -6.5810


! MgTc2Sb | Alexandria | PBE | optimized geometry; values from VASP
! final energy = -25.6 eV/cell
! energy above the most stable polymorph in this dataset = 173.4 meV/atom
! E_form (uncorrected) = 0.22 eV per atom
&SYSTEM
  ibrav = 0, nat = 4, ntyp = 3
/
ATOMIC_SPECIES
Tc 98.00 Tc.upf
Sb 121.76 Sb.upf
Mg 24.30 Mg.upf
ATOMIC_POSITIONS angstrom
Tc 0.0000 0.0000 0.0000
Tc 2.2397 2.2397 0.0000
Sb 0.0000 2.2397 1.6360
Mg 2.2397 0.0000 1.6360
CELL_PARAMETERS angstrom
4.4794 0.0000 0.0000
0.0000 4.4794 0.0000
0.0000 0.0000 3.2720


! Cd2RuCl | Alexandria | PBE | optimized geometry; values from VASP
! final energy = -12.9 eV/cell
! energy above the most stable polymorph in this dataset = 0.0 meV/atom
! E_form (uncorrected) = 0.02 eV per atom
&SYSTEM
  ibrav = 0, nat = 4, ntyp = 3
/
ATOMIC_SPECIES
Cd 112.41 Cd.upf
Cl 35.45 Cl.upf
Ru 101.07 Ru.upf
ATOMIC_POSITIONS angstrom
Cd 4.3390 0.5397 0.2243
Cd 7.7762 1.4501 -0.0215
Cl 1.9545 0.9877 1.5619
Ru 6.2422 0.8975 2.3304
CELL_PARAMETERS angstrom
-0.3787 2.0657 2.3553
0.7479 -2.2604 2.1027
7.8275 2.0800 -0.5657


! CaCrP2 | Alexandria | PBE | optimized geometry; values from VASP
! final energy = -25.0 eV/cell
! energy above the most stable polymorph in this dataset = 0.0 meV/atom
! E_form = -0.63 eV per atom
&SYSTEM
  ibrav = 0, nat = 4, ntyp = 3
/
ATOMIC_SPECIES
Ca 40.08 Ca.upf
P 30.97 P.upf
Cr 52.00 Cr.upf
ATOMIC_POSITIONS angstrom
Ca -3.1742 -3.3393 0.2588
P -6.0992 -6.4164 0.4973
P -0.2493 -0.2623 0.0203
Cr -9.5227 -10.0180 0.7764
CELL_PARAMETERS angstrom
-5.7877 -2.9744 0.3397
-3.5231 -5.2702 -1.5075
-3.3862 -5.1127 2.2030


! CrFeP | Alexandria | PBE | optimized geometry; values from VASP
! final energy = -150.6 eV/cell
! E_form = -0.54 eV per atom
&SYSTEM
  ibrav = 0, nat = 18, ntyp = 3
/
ATOMIC_SPECIES
Cr 52.00 Cr.upf
Fe 55.84 Fe.upf
P 30.97 P.upf
ATOMIC_POSITIONS angstrom
Cr 5.2164 -4.2583 0.2217
Cr 7.4437 -4.8998 -1.7961
Cr 0.7383 -3.7974 0.4268
Cr 6.9222 -5.9377 2.1644
Cr 2.9657 -4.4389 -1.5910
Cr 1.2599 -2.7594 -3.5337
Fe 2.8332 -5.2311 0.9666
Fe 4.9667 -7.2791 3.2420
Fe 2.1075 -1.9598 -1.0807
Fe 3.2154 -1.4180 -4.6113
Fe 5.3488 -3.4660 -2.3359
Fe 6.0745 -6.7374 -0.2886
P 0.0389 -2.7132 -1.5309
P 8.1432 -5.9840 0.1616
P 5.0298 -5.5910 -1.8241
P 3.5446 -2.2792 -2.6600
P 3.1523 -3.1062 0.4549
P 4.6375 -6.4180 1.2907
CELL_PARAMETERS angstrom
-1.7356 -2.9090 -0.9909
3.0872 -0.1976 -4.8271
6.8304 -5.5906 4.4487


! Zr2AlSiO | Alexandria | PBE | optimized geometry; values from VASP
! final energy = -32.1 eV/cell
! E_form (uncorrected) = -0.18 eV per atom
&SYSTEM
  ibrav = 0, nat = 5, ntyp = 4
/
ATOMIC_SPECIES
Al 26.98 Al.upf
Zr 91.22 Zr.upf
O 16.00 O.upf
Si 28.09 Si.upf
ATOMIC_POSITIONS angstrom
Al 0.0000 0.0000 0.0000
Zr 0.0000 0.0000 2.6065
Zr 2.6065 0.0000 0.0000
O 0.0000 1.7241 0.0000
Si 2.6065 1.7241 2.6065
CELL_PARAMETERS angstrom
5.2131 0.0000 0.0000
0.0000 3.4481 0.0000
0.0000 0.0000 5.2131


! CaYGa4 | Alexandria | PBE | optimized geometry; values from VASP
! final energy = -23.5 eV/cell
! energy above the most stable polymorph in this dataset = 63.0 meV/atom
! E_form = -0.48 eV per atom
&SYSTEM
  ibrav = 0, nat = 6, ntyp = 3
/
ATOMIC_SPECIES
Y 88.91 Y.upf
Ga 69.72 Ga.upf
Ca 40.08 Ca.upf
ATOMIC_POSITIONS angstrom
Y 2.7804 1.6053 1.1351
Ga 5.5609 3.2106 0.5711
Ga 5.5609 1.6087 2.8366
Ga 4.1736 4.0115 2.8366
Ga 6.9481 4.0115 2.8366
Ca 0.0000 0.0000 0.0000
CELL_PARAMETERS angstrom
5.5609 0.0000 0.0000
2.7804 4.8158 0.0000
2.7804 1.6053 4.5404


! NaSr2Ca2 | Alexandria | PBE | optimized geometry; values from VASP
! final energy = -15.4 eV/cell
! energy above the most stable polymorph in this dataset = 178.0 meV/atom
! E_form = 0.19 eV per atom
&SYSTEM
  ibrav = 0, nat = 10, ntyp = 3
/
ATOMIC_SPECIES
Sr 87.62 Sr.upf
Ca 40.08 Ca.upf
Na 22.99 Na.upf
ATOMIC_POSITIONS angstrom
Sr -1.1384 0.6348 -6.9339
Sr 7.4525 -0.5352 -7.3140
Sr 3.0089 0.3675 -11.4490
Sr 3.3051 -0.2679 -2.7989
Ca 5.6063 -2.2156 -10.3160
Ca 0.1249 -1.8713 -4.2194
Ca -0.1350 -1.4380 -9.9997
Ca 5.8661 -2.6489 -4.5358
Na 0.0000 0.0000 0.0000
Na 3.1570 0.0498 -7.1239
CELL_PARAMETERS angstrom
-3.8860 1.2442 -10.2367
10.2000 -1.1446 -4.0112
-0.5829 -4.1865 -0.2876


Q: Number 1 is which compound?
A: LiScCdBr6